# 1
Crystalline SnB2W at its relaxed geometry. Source: Alexandria, functional PBE.

```
SnB2W
1.0
5.185 0.000 0.000
0.000 5.185 0.000
2.592 2.592 4.943
B W Sn
4 2 2
Direct
0.090 0.625 0.250
0.375 0.340 0.750
0.660 0.125 0.250
0.875 0.910 0.750
0.750 0.250 0.500
0.000 0.000 0.000
0.250 0.750 0.500
0.500 0.500 0.000
```

***

# 2
Crystalline V2PdW4 at its relaxed geometry. Source: Alexandria, functional PBE.

```
V2PdW4
1.0
4.655 0.000 0.000
0.000 4.655 0.000
2.328 2.328 6.260
W V Pd
4 2 1
Direct
0.000 0.500 0.000
0.500 0.000 0.000
0.205 0.205 0.590
0.795 0.795 0.410
0.390 0.390 0.220
0.610 0.610 0.780
0.000 0.000 0.000
```

***

# 3
Crystalline Zn2GePd at its relaxed geometry. Source: Alexandria, functional PBE.

```
Zn2GePd
1.0
3.392 0.000 0.000
0.000 3.392 0.000
0.000 0.000 5.375
Ge Zn Pd
1 2 1
Direct
0.500 0.500 0.500
0.000 0.000 0.243
0.000 0.000 0.757
0.500 0.500 0.000
```

***

The records above give, respectively, volume values of 16.61, 19.38, 15.46 A^3/atom.
The records above give, respectively, total energy values of -0.247, -0.324, -0.121 hartree per atom.